Entry 1:
An optimized crystal structure of K4P2Pt. Source: Alexandria via LeMat-Bulk, functional GGA-PBE.

Computed properties:
- ρ (g/cm³) = 2.39
- total magnetization (μB per cell) = 8.03
- ΔE_f (eV per atom) = 0.55

Lattice parameters (Å, degrees): 6.5947 6.5947 13.1870 90.00 90.00 90.00
Space group P4_2/mnm (No. 136)
Inequivalent atoms, fractional coordinates:
1 K 0.0000 0.0000 0.2284 [4 per cell]
2 K 0.1932 0.1932 0.5000 [4 per cell]
3 P 0.0000 0.5000 0.2500 [4 per cell]
4 Pt 0.0000 0.0000 0.0000 [2 per cell]



Entry 2:
An optimized crystal structure of CaAc5Se8. Source: Alexandria via LeMat-Bulk, functional GGA-PBE.

Computed properties:
- ρ (g/cm³) = 7.34
- total magnetization (μB per cell) = 0.00
- uncorrected formation energy (meV/atom) = -1997

Lattice parameters (Å, degrees): 9.3286 9.3286 9.3878 90.00 90.00 90.00
Space group I-4 (No. 82)
Inequivalent atoms, fractional coordinates:
1 Ca 0.0000 0.0000 0.0000 [2 per cell]
2 Ac 0.0000 0.5000 0.2500 [2 per cell]
3 Ac 0.1283 0.2486 0.6302 [8 per cell]
4 Se 0.0698 0.3181 0.9547 [8 per cell]
5 Se 0.0780 0.1744 0.3046 [8 per cell]



- The highest total magnetization belongs to which entry?
  K4P2Pt